A PBEsol-optimized structure of KNi2Ag. Source: Alexandria via LeMat-Bulk, functional SCAN.

Results
Its space-group type is No. 47. As for the calculated formation energy: 635.5 meV per atom. The value obtained for the relative energy among the computed polymorphs is 0 meV per atom.

abc: 2.6723 4.0095 6.8305
angles: 90.00 90.00 90.00
With the nearest neighbours (Å) after each atom.
Positions (direct):
Ag: 0.5000 0.5000 0.0000  8 Ni 2.66, 2 Ag 2.67
Ni: 0.0000 0.0000 0.1646  1 Ni 2.25
Ni: 0.0000 0.0000 0.8354  1 Ni 2.25
K: 0.5000 0.5000 0.5000  2 K 2.67

=====

A PBEsol-optimized structure of HfAuSO2. Source: Alexandria via LeMat-Bulk, functional SCAN.

Results
Its space-group type is No. 123. For the uncorrected formation energy, the calculation gives 0.1 eV/f.u.

abc: 3.8668 3.8668 4.7621
angles: 90.00 90.00 90.00
With the nearest neighbours (Å) after each atom.
Positions (direct):
Hf: 0.5000 0.5000 0.5000  4 Au 2.73
S: 0.0000 0.0000 0.0000  4 O 1.93
Au: 0.0000 0.0000 0.5000  2 S 2.38
O: 0.0000 0.5000 0.0000  2 S 1.93
O: 0.5000 0.0000 0.0000  2 S 1.93

=====

A PBEsol-optimized structure of Cu3GeF. Source: Alexandria via LeMat-Bulk, functional SCAN.

Results
Its space-group type is No. 221. For the uncorrected formation energy, the calculation gives 0.7 eV/f.u.

abc: 4.0700 4.0700 4.0700
angles: 90.00 90.00 90.00
With the nearest neighbours (Å) after each atom.
Positions (direct):
F: 0.0000 0.0000 0.0000  6 Cu 2.04
Cu: 0.0000 0.0000 0.5000  2 F 2.04
Cu: 0.5000 0.0000 0.0000  2 F 2.04
Cu: 0.0000 0.5000 0.0000  2 F 2.04
Ge: 0.5000 0.5000 0.5000  12 Cu 2.88

=====

A PBEsol-optimized structure of Y2As. Source: Alexandria via LeMat-Bulk, functional SCAN.

Results
Its space-group type is No. 71. As for the calculated formation energy: -1066.5 meV per atom.

abc: 3.9175 5.9285 7.3284
angles: 113.86 105.50 90.00
With the nearest neighbours (Å) after each atom.
Positions (direct):
As: 0.3585 0.3585 0.7171  8 Y 2.83-3.05
As: 0.6415 0.6415 0.2829  8 Y 2.83-3.05
Y: 0.6988 0.1988 0.3975  4 As 2.83-3.05
Y: 0.3012 0.8012 0.6025  4 As 2.83-3.05
Y: 0.0000 0.7375 0.0000  2 Y 2.82-3.11, 4 As 3.02
Y: 0.0000 0.2625 0.0000  2 Y 2.82-3.11, 4 As 3.02

=====

A PBEsol-optimized structure of LaCd2Sb. Source: Alexandria via LeMat-Bulk, functional SCAN.

Results
Its space-group type is No. 123. For the uncorrected formation energy, the calculation gives -2.4 eV/f.u.

abc: 4.5157 4.5157 5.0308
angles: 90.00 90.00 90.00
With the nearest neighbours (Å) after each atom.
Positions (direct):
Cd: 0.0000 0.5000 0.0000  4 Cd 3.19, 4 Sb 3.38, 4 La 3.38
Cd: 0.5000 0.0000 0.0000  4 Cd 3.19, 4 La 3.38, 4 Sb 3.38
Sb: 0.0000 0.0000 0.5000  4 La 3.19, 8 Cd 3.38
La: 0.5000 0.5000 0.5000  4 Sb 3.19, 8 Cd 3.38

=====

A PBEsol-optimized structure of Al3WSe. Source: Alexandria via LeMat-Bulk, functional SCAN.

Results
Its space-group type is No. 221. For the uncorrected formation energy, the calculation gives 4.9 eV/f.u.

abc: 4.8848 4.8848 4.8848
angles: 90.00 90.00 90.00
With the nearest neighbours (Å) after each atom.
Positions (direct):
Se: 0.5000 0.5000 0.5000  12 Al 3.45
Al: 0.5000 0.0000 0.0000  2 W 2.44
Al: 0.0000 0.0000 0.5000  2 W 2.44
Al: 0.0000 0.5000 0.0000  2 W 2.44
W: 0.0000 0.0000 0.0000  6 Al 2.44

=====

A PBEsol-optimized structure of LaHgW2. Source: Alexandria via LeMat-Bulk, functional SCAN.

Results
Its space-group type is No. 8. As for the calculated formation energy: 593.6 meV per atom.

abc: 3.0765 4.4744 6.9206
angles: 97.51 90.00 110.11
With the nearest neighbours (Å) after each atom.
Positions (direct):
La: 0.7504 0.5008 0.2261  5 W 3.03-3.38, 2 La 3.08, 3 Hg 3.22-3.28
W: 0.2528 0.5056 0.7913  3 W 2.56-2.58
W: 0.9871 0.9742 0.9329  3 W 2.56-2.58
Hg: 0.5097 0.0195 0.5496  5 W 2.90-3.10, 2 Hg 3.08, 1 La 3.22

=====

A PBEsol-optimized structure of Mg2AlRh. Source: Alexandria via LeMat-Bulk, functional SCAN.

Results
Its space-group type is No. 123. As for the calculated formation energy: -428.3 meV per atom.

abc: 3.9155 3.9155 4.1737
angles: 90.00 90.00 90.00
With the nearest neighbours (Å) after each atom.
Positions (direct):
Al: 0.0000 0.0000 0.5000  4 Rh 2.77, 8 Mg 2.86
Rh: 0.5000 0.5000 0.5000  4 Al 2.77, 8 Mg 2.86
Mg: 0.0000 0.5000 0.0000  4 Mg 2.77, 4 Rh 2.86, 4 Al 2.86
Mg: 0.5000 0.0000 0.0000  4 Mg 2.77, 4 Rh 2.86, 4 Al 2.86

=====

Repeat the sixth record exactly.
A PBEsol-optimized structure of Al3WSe. Source: Alexandria via LeMat-Bulk, functional SCAN.

Results
Its space-group type is No. 221. For the uncorrected formation energy, the calculation gives 4.9 eV/f.u.

abc: 4.8848 4.8848 4.8848
angles: 90.00 90.00 90.00
With the nearest neighbours (Å) after each atom.
Positions (direct):
Se: 0.5000 0.5000 0.5000  12 Al 3.45
Al: 0.5000 0.0000 0.0000  2 W 2.44
Al: 0.0000 0.0000 0.5000  2 W 2.44
Al: 0.0000 0.5000 0.0000  2 W 2.44
W: 0.0000 0.0000 0.0000  6 Al 2.44